A plane-wave DFT calculation with PBE was carried out for a relaxed La2TiHPd crystal.

```
La2TiHPd
1.0
5.8242 0.0000 0.0000
0.0000 5.8242 0.0000
0.0000 0.0000 4.7035
La Ti H Pd
2 1 1 1
Direct
0.0000 0.5000 0.0000
0.5000 0.0000 0.0000
0.0000 0.0000 0.5000
0.5000 0.5000 0.5000
0.0000 0.0000 0.0000
```

Properties
Excess energy over the best structure of this formula in the dataset = 32.9 kJ per mole of atoms
Total energy = -4.7883 eV per atom
Magnetization = 1.552 μB/cell